# CuSb2As

A relaxed CuSb2As crystal (PBE, Alexandria).

```
data_CuSb2As
_chemical_formula_sum 'Cu2 Sb4 As2'
_space_group_name_H-M_alt 'I m m m'
_space_group_IT_number 71
_space_group_name_Hall '-I 2 2'
_cell_length_a 4.0772
_cell_length_b 5.5379
_cell_length_c 7.8758
_cell_angle_alpha 90.00
_cell_angle_beta 90.00
_cell_angle_gamma 90.00
loop_
_atom_site_label
_atom_site_type_symbol
_atom_site_fract_x
_atom_site_fract_y
_atom_site_fract_z
_atom_site_occupancy
Cu1 Cu 0.0000 0.0000 0.0000 1
Sb1 Sb 0.0000 0.5000 0.2794 1
As1 As 0.0000 0.0000 0.5000 1
```

Calculated values
E_form (uncorrected)	343	meV/atom
crystal system	orthorhombic



# CuSb2As

A relaxed CuSb2As crystal (PBE, Alexandria).

```
data_CuSb2As
_chemical_formula_sum 'Cu1 Sb2 As1'
_space_group_name_H-M_alt 'P 4 m m'
_space_group_IT_number 99
_space_group_name_Hall 'P 4 -2'
_cell_length_a 3.0816
_cell_length_b 3.0816
_cell_length_c 9.2876
_cell_angle_alpha 90.00
_cell_angle_beta 90.00
_cell_angle_gamma 90.00
loop_
_atom_site_label
_atom_site_type_symbol
_atom_site_fract_x
_atom_site_fract_y
_atom_site_fract_z
_atom_site_occupancy
Cu1 Cu 0.0000 0.0000 0.0000 1
Sb1 Sb 0.0000 0.0000 0.5428 1
Sb2 Sb 0.5000 0.5000 0.2216 1
As1 As 0.5000 0.5000 0.8421 1
```

Calculated values
E_form (uncorrected)	259	meV/atom
crystal system	tetragonal



# CuSbAs2

A relaxed CuSbAs2 crystal (PBE, Alexandria).

```
data_CuSbAs2
_chemical_formula_sum 'Cu1 Sb1 As2'
_space_group_name_H-M_alt 'P 4/m m m'
_space_group_IT_number 123
_space_group_name_Hall '-P 4 2'
_cell_length_a 2.9551
_cell_length_b 2.9551
_cell_length_c 9.2326
_cell_angle_alpha 90.00
_cell_angle_beta 90.00
_cell_angle_gamma 90.00
loop_
_atom_site_label
_atom_site_type_symbol
_atom_site_fract_x
_atom_site_fract_y
_atom_site_fract_z
_atom_site_occupancy
Cu1 Cu 0.0000 0.0000 0.0000 1
Sb1 Sb 0.0000 0.0000 0.5000 1
As1 As 0.5000 0.5000 0.1863 1
```

Calculated values
E_form (uncorrected)	278	meV/atom
crystal system	tetragonal



# CuSb2As

A relaxed CuSb2As crystal (PBE, Alexandria).

```
data_CuSb2As
_chemical_formula_sum 'Cu2 Sb4 As2'
_space_group_name_H-M_alt 'I m m 2'
_space_group_IT_number 44
_space_group_name_Hall 'I 2 -2'
_cell_length_a 3.2365
_cell_length_b 4.8034
_cell_length_c 11.4788
_cell_angle_alpha 90.00
_cell_angle_beta 90.00
_cell_angle_gamma 90.00
loop_
_atom_site_label
_atom_site_type_symbol
_atom_site_fract_x
_atom_site_fract_y
_atom_site_fract_z
_atom_site_occupancy
Cu1 Cu 0.0000 0.0000 0.0000 1
Sb1 Sb 0.0000 0.0000 0.4967 1
Sb2 Sb 0.0000 0.5000 0.3016 1
As1 As 0.0000 0.5000 0.6689 1
```

Calculated values
E_form (uncorrected)	231	meV/atom
crystal system	orthorhombic



# CuSbAs2

A relaxed CuSbAs2 crystal (PBE, Alexandria).

```
data_CuSbAs2
_chemical_formula_sum 'Cu1 Sb1 As2'
_space_group_name_H-M_alt 'P 4/m m m'
_space_group_IT_number 123
_space_group_name_Hall '-P 4 2'
_cell_length_a 4.8600
_cell_length_b 4.8600
_cell_length_c 3.3353
_cell_angle_alpha 90.00
_cell_angle_beta 90.00
_cell_angle_gamma 90.00
loop_
_atom_site_label
_atom_site_type_symbol
_atom_site_fract_x
_atom_site_fract_y
_atom_site_fract_z
_atom_site_occupancy
Cu1 Cu 0.0000 0.0000 0.0000 1
Sb1 Sb 0.5000 0.5000 0.0000 1
As1 As 0.0000 0.5000 0.5000 1
```

Calculated values
E_form (uncorrected)	445	meV/atom
crystal system	tetragonal



# CuSbAs2

A relaxed CuSbAs2 crystal (PBE, Alexandria).

```
data_CuSbAs2
_chemical_formula_sum 'Cu1 Sb1 As2'
_space_group_name_H-M_alt 'P m m m'
_space_group_IT_number 47
_space_group_name_Hall '-P 2 2'
_cell_length_a 3.6056
_cell_length_b 4.4897
_cell_length_c 4.8323
_cell_angle_alpha 90.00
_cell_angle_beta 90.00
_cell_angle_gamma 90.00
loop_
_atom_site_label
_atom_site_type_symbol
_atom_site_fract_x
_atom_site_fract_y
_atom_site_fract_z
_atom_site_occupancy
Cu1 Cu 0.0000 0.0000 0.0000 1
Sb1 Sb 0.5000 0.5000 0.0000 1
As1 As 0.0000 0.5000 0.5000 1
As2 As 0.5000 0.0000 0.5000 1
```

Calculated values
E_form (uncorrected)	396	meV/atom
crystal system	orthorhombic



# CuSbAs2

A relaxed CuSbAs2 crystal (PBE, Alexandria).

```
data_CuSbAs2
_chemical_formula_sum 'Cu4 Sb4 As8'
_space_group_name_H-M_alt 'I -4 2 d'
_space_group_IT_number 122
_space_group_name_Hall 'I -4 2bw'
_cell_length_a 5.8315
_cell_length_b 5.8315
_cell_length_c 11.7940
_cell_angle_alpha 90.00
_cell_angle_beta 90.00
_cell_angle_gamma 90.00
loop_
_atom_site_label
_atom_site_type_symbol
_atom_site_fract_x
_atom_site_fract_y
_atom_site_fract_z
_atom_site_occupancy
Cu1 Cu 0.0000 0.0000 0.0000 1
Sb1 Sb 0.0000 0.0000 0.5000 1
As1 As 0.2050 0.2500 0.1250 1
```

Calculated values
E_form (uncorrected)	63	meV/atom
crystal system	tetragonal



# CuSbAs2

A relaxed CuSbAs2 crystal (PBE, Alexandria).

```
data_CuSbAs2
_chemical_formula_sum 'Cu2 Sb2 As4'
_space_group_name_H-M_alt 'I -4 m 2'
_space_group_IT_number 119
_space_group_name_Hall 'I -4 -2'
_cell_length_a 4.6187
_cell_length_b 4.6187
_cell_length_c 7.3378
_cell_angle_alpha 90.00
_cell_angle_beta 90.00
_cell_angle_gamma 90.00
loop_
_atom_site_label
_atom_site_type_symbol
_atom_site_fract_x
_atom_site_fract_y
_atom_site_fract_z
_atom_site_occupancy
Cu1 Cu 0.0000 0.0000 0.0000 1
Sb1 Sb 0.0000 0.5000 0.7500 1
As1 As 0.0000 0.0000 0.5000 1
As2 As 0.0000 0.5000 0.2500 1
```

Calculated values
E_form (uncorrected)	413	meV/atom
crystal system	tetragonal



no.,VASP energy (hartree per atom)
1,-0.143
2,-0.147
3,-0.151
4,-0.148
5,-0.145
6,-0.146
7,-0.159
8,-0.146